DFT (PBE) results for an optimized crystal structure of Dy3Ho2Er8.

Structure (POSCAR):
```
Dy3Ho2Er8
1.0
4.9569 0.0000 0.0000
-0.0034 7.8582 0.0000
-2.4708 -0.7671 10.1926
Dy Ho Er
3 2 8
Cartesian
0.0000 0.0000 0.0000 Dy
0.0048 4.7344 9.4061 Dy
2.4780 2.3566 0.7864 Dy
0.0007 6.2942 4.7059 Ho
2.4820 0.7969 5.4867 Ho
-0.0011 4.7144 1.5720 Er
0.0021 1.5791 3.1439 Er
0.0030 3.1533 6.2692 Er
0.0059 0.0178 7.8343 Er
2.4769 7.0732 2.3583 Er
2.4797 3.9378 3.9234 Er
2.4806 5.5120 7.0487 Er
2.4839 2.3766 8.6206 Er
```

Properties
The value obtained for the raw total energy is -4.553 eV/atom. The calculated formation energy is 21 meV/atom. The value obtained for the spin magnetization is 0.000 μB/f.u. The space group is P-1 (2). As for the offset from the most stable computed form: 0 meV per atom.



DFT (PBE) results for an optimized crystal structure of Dy3HoEr.

Structure (POSCAR):
```
Dy3HoEr
1.0
3.5864 0.0000 0.0000
0.0000 11.4933 0.0000
-1.7831 0.0000 8.1984
Dy Ho Er
6 2 2
Cartesian
0.0065 0.0030 2.4633 Dy
0.0065 5.7436 2.4633 Dy
0.0072 2.8733 5.3141 Dy
1.7962 8.6200 2.8844 Dy
1.7968 11.4903 5.7351 Dy
1.7968 5.7497 5.7351 Dy
0.0034 8.6200 5.5152 Ho
1.8000 2.8733 2.6833 Ho
-0.0034 8.6200 0.0794 Er
1.8067 2.8733 8.1190 Er
```

Properties
The value obtained for the raw total energy is -4.268 eV/atom. The calculated formation energy is 322 meV/atom. The value obtained for the spin magnetization is 0.000 μB/f.u. The space group is P2_1/m (11). As for the offset from the most stable computed form: 318 meV per atom.



DFT (PBE) results for an optimized crystal structure of Dy2Ho2Er.

Structure (POSCAR):
```
Dy2Ho2Er
1.0
9.2110 0.0000 0.0000
0.0000 9.2110 0.0000
0.0000 0.0000 3.6833
Dy Ho Er
4 4 2
Cartesian
1.1756 3.4299 0.0000 Dy
3.4299 8.0354 0.0000 Dy
5.7811 1.1756 0.0000 Dy
8.0354 5.7811 0.0000 Dy
1.5758 6.1813 1.8416 Ho
3.0297 1.5758 1.8416 Ho
6.1813 7.6352 1.8416 Ho
7.6352 3.0297 1.8416 Ho
0.0000 0.0000 0.0000 Er
4.6055 4.6055 0.0000 Er
```

Properties
The value obtained for the raw total energy is -4.488 eV/atom. The calculated formation energy is 97 meV/atom. The value obtained for the spin magnetization is 0.000 μB/f.u. The space group is P4/mbm (127). As for the offset from the most stable computed form: 0 meV per atom.



DFT (PBE) results for an optimized crystal structure of Dy4Ho3Er2.

Structure (POSCAR):
```
Dy4Ho3Er2
1.0
8.0168 -5.7362 0.0000
8.0168 5.7362 0.0000
-0.6210 0.0000 6.0433
Dy Ho Er
8 6 4
Cartesian
6.6627 4.1067 5.9638 Dy
4.5162 1.6365 0.9300 Dy
8.4393 4.1067 3.1012 Dy
4.2057 -1.6365 3.9516 Dy
11.2068 1.6365 2.0917 Dy
6.9732 -4.1067 2.9421 Dy
10.8963 -1.6365 5.1134 Dy
8.7499 -4.1067 0.0796 Dy
2.3187 1.1073 3.5084 Ho
2.6292 -1.1073 0.4868 Ho
7.8615 1.1082 1.5108 Ho
7.5510 -1.1082 4.5325 Ho
12.7834 1.1073 5.5566 Ho
13.0939 -1.1073 2.5349 Ho
5.6724 1.6204 4.1155 Er
9.4296 1.6204 4.9495 Er
5.9829 -1.6204 1.0938 Er
9.7401 -1.6204 1.9278 Er
```

Properties
The value obtained for the raw total energy is -4.484 eV/atom. The calculated formation energy is 101 meV/atom. The value obtained for the spin magnetization is 0.000 μB/f.u. The space group is C2/c (15).



DFT (PBE) results for an optimized crystal structure of Dy7Ho3Er.

Structure (POSCAR):
```
Dy7Ho3Er
1.0
6.9206 0.0000 0.0000
0.0000 5.4885 0.0000
-3.4505 0.0000 9.2167
Dy Ho Er
7 3 1
Cartesian
0.0000 0.0000 0.0000 Dy
0.0038 2.7443 2.6827 Dy
0.0092 2.7443 5.9021 Dy
0.0117 0.0000 7.6505 Dy
3.4584 0.0000 1.5662 Dy
3.4609 2.7443 3.3146 Dy
3.4663 2.7443 6.5339 Dy
-1.7252 0.0000 4.6083 Ho
-1.5143 2.7443 9.2133 Ho
4.9844 2.7443 0.0034 Ho
1.7351 0.0000 4.6083 Er
```

Properties
The value obtained for the raw total energy is -4.447 eV/atom. The calculated formation energy is 145 meV/atom. The value obtained for the spin magnetization is 0.000 μB/f.u. The space group is P2/m (10). As for the offset from the most stable computed form: 0 meV per atom.



DFT (PBE) results for an optimized crystal structure of DyHoEr.

Structure (POSCAR):
```
DyHoEr
1.0
-1.7556 1.7556 7.4789
1.7556 -1.7556 7.4789
1.7556 1.7556 -7.4789
Dy Ho Er
1 1 1
Cartesian
0.0000 0.0000 0.0000 Dy
0.0000 0.0000 4.9767 Ho
0.0000 0.0000 9.9719 Er
```

Properties
The value obtained for the raw total energy is -4.559 eV/atom. The calculated formation energy is 22 meV/atom. The value obtained for the spin magnetization is 0.000 μB/f.u. The space group is I4mm (107). As for the offset from the most stable computed form: 0 meV per atom.



DFT (PBE) results for an optimized crystal structure of DyHo15Er4.

Structure (POSCAR):
```
DyHo15Er4
1.0
4.9677 0.0000 0.0000
0.0000 4.9677 0.0000
0.0000 0.0000 24.8429
Dy Ho Er
1 15 4
Cartesian
0.0000 0.0000 0.0000 Dy
0.0000 2.4838 2.4928 Ho
0.0000 2.4838 7.4552 Ho
0.0000 2.4838 12.4214 Ho
0.0000 2.4838 17.3877 Ho
0.0000 2.4838 22.3501 Ho
2.4838 0.0000 2.4928 Ho
2.4838 0.0000 7.4552 Ho
2.4838 0.0000 12.4214 Ho
2.4838 0.0000 17.3877 Ho
2.4838 0.0000 22.3501 Ho
2.4838 2.4838 0.0000 Ho
2.4838 2.4838 4.9751 Ho
2.4838 2.4838 9.9381 Ho
2.4838 2.4838 14.9047 Ho
2.4838 2.4838 19.8677 Ho
0.0000 0.0000 4.9729 Er
0.0000 0.0000 9.9383 Er
0.0000 0.0000 14.9046 Er
0.0000 0.0000 19.8699 Er
```

Properties
The value obtained for the raw total energy is -4.556 eV/atom. The calculated formation energy is 20 meV/atom. The value obtained for the spin magnetization is 0.000 μB/f.u. The space group is P4/mmm (123).



DFT (PBE) results for an optimized crystal structure of Dy2HoEr6.

Structure (POSCAR):
```
Dy2HoEr6
1.0
10.5167 0.0000 0.0000
0.0000 10.5167 0.0000
0.0000 0.0000 4.9655
Dy Ho Er
4 2 12
Cartesian
1.7531 1.7531 0.0000 Dy
3.5052 7.0115 2.4827 Dy
7.0115 3.5052 2.4827 Dy
8.7635 8.7635 0.0000 Dy
0.0000 0.0000 2.4827 Ho
5.2583 5.2583 0.0000 Ho
0.0023 3.5083 2.4827 Er
10.5143 7.0084 2.4827 Er
1.7501 5.2607 0.0000 Er
1.7548 8.7618 0.0000 Er
3.5035 3.5035 2.4827 Er
3.5083 0.0023 2.4827 Er
5.2607 1.7501 0.0000 Er
5.2560 8.7666 0.0000 Er
7.0084 10.5143 2.4827 Er
7.0132 7.0132 2.4827 Er
8.7618 1.7548 0.0000 Er
8.7666 5.2560 0.0000 Er
```

Properties
The value obtained for the raw total energy is -4.551 eV/atom. The calculated formation energy is 22 meV/atom. The value obtained for the spin magnetization is 0.000 μB/f.u. The space group is P4_2/mnm (136). As for the offset from the most stable computed form: 21 meV per atom.